! YInGeRh2 SCAN PBEsol geometry; values from VASP
&SYSTEM
  ibrav = 0, nat = 5, ntyp = 4
/
ATOMIC_SPECIES
Y 88.91 Y.upf
In 114.82 In.upf
Ge 72.64 Ge.upf
Rh 102.91 Rh.upf
CELL_PARAMETERS angstrom
4.795 0.000 0.000
0.000 4.795 0.000
0.000 0.000 5.262
ATOMIC_POSITIONS angstrom
Y 0.000 0.000 0.000
In 2.397 2.397 2.631
Ge 0.000 0.000 2.631
Rh 0.000 2.397 0.000
Rh 2.397 0.000 0.000
! SG = P4/mmm, No. 123
! crystal system = tetragonal
! calculated volume = 24.20 Å³/atom
! DFT total energy = -1.05055 hartree per atom
! M_tot = 0.000 μB per atom
! ρ = 6.6 g/cm³

! TaCd2InH SCAN PBEsol geometry; values from VASP
&SYSTEM
  ibrav = 0, nat = 5, ntyp = 4
/
ATOMIC_SPECIES
Ta 180.95 Ta.upf
Cd 112.41 Cd.upf
In 114.82 In.upf
H 1.01 H.upf
CELL_PARAMETERS angstrom
5.566 0.000 0.000
0.000 5.566 0.000
0.000 0.000 3.404
ATOMIC_POSITIONS angstrom
Ta 0.000 0.000 0.000
Cd 0.000 2.783 0.000
Cd 2.783 0.000 0.000
In 2.783 2.783 1.702
H 0.000 0.000 1.702
! SG = P4/mmm, No. 123
! crystal system = tetragonal
! calculated volume = 21.09 Å³/atom
! DFT total energy = -1.18195 hartree per atom
! M_tot = 0.000 μB per atom
! ρ = 8.2 g/cm³

! CsScRe2Sn SCAN PBEsol geometry; values from VASP
&SYSTEM
  ibrav = 0, nat = 5, ntyp = 4
/
ATOMIC_SPECIES
Cs 132.91 Cs.upf
Sc 44.96 Sc.upf
Re 186.21 Re.upf
Sn 118.71 Sn.upf
CELL_PARAMETERS angstrom
4.916 0.000 0.000
0.000 4.916 0.000
0.000 0.000 5.010
ATOMIC_POSITIONS angstrom
Cs 0.000 0.000 0.000
Sc 0.000 0.000 2.505
Re 0.000 2.458 0.000
Re 2.458 0.000 0.000
Sn 2.458 2.458 2.505
! SG = P4/mmm, No. 123
! crystal system = tetragonal
! calculated volume = 24.21 Å³/atom
! DFT total energy = -1.58212 hartree per atom
! M_tot = 0.378 μB per atom
! ρ = 9.2 g/cm³

! Y2Te2Br SCAN PBEsol geometry; values from VASP
&SYSTEM
  ibrav = 0, nat = 10, ntyp = 3
/
ATOMIC_SPECIES
Y 88.91 Y.upf
Te 127.60 Te.upf
Br 79.90 Br.upf
CELL_PARAMETERS angstrom
8.188 0.000 0.000
0.000 8.188 0.000
0.000 0.000 3.993
ATOMIC_POSITIONS angstrom
Y 1.240 2.855 0.000
Y 2.855 6.949 0.000
Y 5.334 1.240 0.000
Y 6.949 5.334 0.000
Te 1.187 5.281 1.997
Te 2.907 1.187 1.997
Te 5.281 7.002 1.997
Te 7.002 2.907 1.997
Br 0.000 0.000 0.000
Br 4.094 4.094 0.000
! SG = P4/mbm, No. 127
! crystal system = tetragonal
! calculated volume = 26.78 Å³/atom
! DFT total energy = -1.15968 hartree per atom
! M_tot = 0.000 μB per atom
! formation energy from raw total energies = -8.135 eV per formula unit
! ρ = 6.4 g/cm³